No. 1
Material: TlFe2As
Method: DFT, PBE
State: relaxed

a = 6.765 Å, b = 6.765 Å, c = 5.767 Å
α = 90.00°, β = 90.00°, γ = 90.00°
Space group I-42d (No. 122)
Inequivalent atoms, fractional coordinates:
Tl (0.000, 0.000, 0.000) (multiplicity 4)
Fe (0.190, 0.250, 0.625) (multiplicity 8)
As (0.000, 0.000, 0.500) (multiplicity 4)

Summary:
**Magnetization**: 0.000 μB/f.u.
**V**: 16.5 A^3/atom
**Offset from the most stable computed form**: 0.501 eV/atom
**DOS at the Fermi energy**: 0.402 states/eV/atom
**Calculated total energy**: -5.2877 eV per atom
**Formation enthalpy at 0 K**: 0.698 eV/atom

=====

No. 2
Material: NiMoBr4
Method: DFT, PBE
State: relaxed

a = 8.750 Å, b = 8.750 Å, c = 8.750 Å
α = 90.00°, β = 90.00°, γ = 90.00°
Space group F-43m (No. 216)
Inequivalent atoms, fractional coordinates:
Ni (0.000, 0.000, 0.000) (multiplicity 4)
Mo (0.250, 0.250, 0.250) (multiplicity 4)
Br (0.125, 0.125, 0.625) (multiplicity 16)

Summary:
**Formation energy (no corrections)**: 1482 meV/atom
**Magnetization**: 5.522 μB/f.u.
**V**: 27.9 A^3/atom
**DOS at the Fermi energy**: 1.914 states/eV/atom
**Calculated total energy**: -2.4019 eV per atom

=====

No. 3
Material: TbPr2SmHo
Method: DFT, PBE
State: relaxed

a = 8.194 Å, b = 6.806 Å, c = 6.239 Å
α = 90.00°, β = 90.08°, γ = 90.00°
Space group P2/c (No. 13)
Inequivalent atoms, fractional coordinates:
Tb (0.000, 0.082, 0.250) (multiplicity 2)
Pr (0.304, 0.194, 0.749) (multiplicity 4)
Sm (0.000, 0.500, 0.000) (multiplicity 2)
Ho (0.500, 0.343, 0.250) (multiplicity 2)

Summary:
**Magnetization**: 0.000 μB/f.u.
**V**: 34.8 A^3/atom
**DOS at the Fermi energy**: 1.199 states/eV/atom
**Calculated total energy**: -4.4357 eV per atom
**Formation enthalpy at 0 K**: 0.262 eV/atom

=====

No. 4
Material: SnRh2W
Method: DFT, PBE
State: relaxed

a = 5.724 Å, b = 5.724 Å, c = 11.696 Å
α = 90.00°, β = 90.00°, γ = 90.00°
Space group I-42d (No. 122)
Inequivalent atoms, fractional coordinates:
Sn (0.000, 0.000, 0.000) (multiplicity 4)
Rh (0.223, 0.250, 0.625) (multiplicity 8)
W (0.000, 0.000, 0.500) (multiplicity 4)

Summary:
**Magnetization**: 0.000 μB/f.u.
**V**: 23.9 A^3/atom
**DOS at the Fermi energy**: 1.069 states/eV/atom
**Calculated total energy**: -7.2559 eV per atom
**Formation enthalpy at 0 K**: 0.659 eV/atom

=====

No. 5
Material: Li2CdFe
Method: DFT, PBE
State: relaxed

a = 3.095 Å, b = 4.468 Å, c = 9.340 Å
α = 90.00°, β = 90.00°, γ = 90.00°
Space group Cmmm (No. 65)
Inequivalent atoms, fractional coordinates:
Li (0.000, 0.000, 0.231) (multiplicity 4)
Cd (0.000, 0.500, 0.500) (multiplicity 2)
Fe (0.000, 0.500, 0.000) (multiplicity 2)

Summary:
**Magnetization**: 2.453 μB/f.u.
**V**: 16.1 A^3/atom
**DOS at the Fermi energy**: 0.746 states/eV/atom
**Calculated total energy**: -3.1262 eV per atom
**Formation enthalpy at 0 K**: 0.175 eV/atom

=====

No. 6
Material: PIrSe2
Method: DFT, PBE
State: relaxed

a = 3.077 Å, b = 3.077 Å, c = 7.329 Å
α = 90.00°, β = 90.00°, γ = 90.00°
Space group P4/mmm (No. 123)
Inequivalent atoms, fractional coordinates:
P (0.000, 0.000, 0.000) (multiplicity 1)
Ir (0.000, 0.000, 0.500) (multiplicity 1)
Se (0.500, 0.500, 0.278) (multiplicity 2)

Summary:
**Formation energy (no corrections)**: 633 meV/atom
**Magnetization**: 0.000 μB/f.u.
**V**: 17.3 A^3/atom
**DOS at the Fermi energy**: 0.647 states/eV/atom
**Calculated total energy**: -4.6770 eV per atom

=====

Please write out number 3 again, unchanged.
Material: TbPr2SmHo
Method: DFT, PBE
State: relaxed

a = 8.194 Å, b = 6.806 Å, c = 6.239 Å
α = 90.00°, β = 90.08°, γ = 90.00°
Space group P2/c (No. 13)
Inequivalent atoms, fractional coordinates:
Tb (0.000, 0.082, 0.250) (multiplicity 2)
Pr (0.304, 0.194, 0.749) (multiplicity 4)
Sm (0.000, 0.500, 0.000) (multiplicity 2)
Ho (0.500, 0.343, 0.250) (multiplicity 2)

Summary:
**Magnetization**: 0.000 μB/f.u.
**V**: 34.8 A^3/atom
**DOS at the Fermi energy**: 1.199 states/eV/atom
**Calculated total energy**: -4.4357 eV per atom
**Formation enthalpy at 0 K**: 0.262 eV/atom

=====

- The highest V belongs to which entry?
  TbPr2SmHo

=====

Copy entry 1 word for word.
Material: TlFe2As
Method: DFT, PBE
State: relaxed

a = 6.765 Å, b = 6.765 Å, c = 5.767 Å
α = 90.00°, β = 90.00°, γ = 90.00°
Space group I-42d (No. 122)
Inequivalent atoms, fractional coordinates:
Tl (0.000, 0.000, 0.000) (multiplicity 4)
Fe (0.190, 0.250, 0.625) (multiplicity 8)
As (0.000, 0.000, 0.500) (multiplicity 4)

Summary:
**Magnetization**: 0.000 μB/f.u.
**V**: 16.5 A^3/atom
**Offset from the most stable computed form**: 0.501 eV/atom
**DOS at the Fermi energy**: 0.402 states/eV/atom
**Calculated total energy**: -5.2877 eV per atom
**Formation enthalpy at 0 K**: 0.698 eV/atom